# 1
## ErLuCo (GGA-PBE)

Data for an optimized crystal structure of ErLuCo.

Results
* ΔE to the lowest computed polymorph: 0.00 kJ per mole of atoms
* calculated total energy: -5.57 eV/atom
* ΔH_f (0 K): -176 meV/atom

a = 3.3100 Å, b = 3.3100 Å, c = 12.3454 Å
α = 90.00°, β = 90.00°, γ = 90.00°
Space group I4mm (No. 107)
Symmetry-distinct sites (fractional):
Er: 0.0000 0.0000 0.0000 (multiplicity 2)
Lu: 0.0000 0.0000 0.2583 (multiplicity 2)
Co: 0.0000 0.0000 0.6314 (multiplicity 2)

=====

# 2
## ErLuCo (GGA-PBE)

Data for an optimized crystal structure of ErLuCo.

Results
* ΔE to the lowest computed polymorph: 10.62 kJ per mole of atoms
* calculated total energy: -5.46 eV/atom
* ΔH_f (0 K): -66 meV/atom

a = 3.8058 Å, b = 3.8058 Å, c = 6.0446 Å
α = 90.00°, β = 90.00°, γ = 120.00°
Space group P3m1 (No. 156)
Symmetry-distinct sites (fractional):
Er: 0.0000 0.0000 0.0000 (multiplicity 1)
Lu: 0.3333 0.6667 0.4691 (multiplicity 1)
Co: 0.6667 0.3333 0.2372 (multiplicity 1)

=====

# 3
## ErLuCo2 (GGA-PBE)

Data for an optimized crystal structure of ErLuCo2.

Results
* calculated total energy: -6.05 eV/atom
* ΔH_f (0 K): -227 meV/atom

a = 4.6323 Å, b = 4.6323 Å, c = 3.2930 Å
α = 90.00°, β = 90.00°, γ = 90.00°
Space group P4/mmm (No. 123)
Symmetry-distinct sites (fractional):
Er: 0.0000 0.0000 0.0000 (multiplicity 1)
Lu: 0.5000 0.5000 0.0000 (multiplicity 1)
Co: 0.0000 0.5000 0.5000 (multiplicity 2)

=====

# 4
## ErLuMgCo (GGA-PBE)

Data for an optimized crystal structure of ErLuMgCo.

Results
* calculated total energy: -4.48 eV/atom
* ΔH_f (0 K): -38 meV/atom

a = 6.9833 Å, b = 6.9833 Å, c = 6.9833 Å
α = 90.00°, β = 90.00°, γ = 90.00°
Space group F-43m (No. 216)
Symmetry-distinct sites (fractional):
Er: 0.0000 0.0000 0.0000 (multiplicity 4)
Lu: 0.0000 0.0000 0.5000 (multiplicity 4)
Mg: 0.2500 0.2500 0.7500 (multiplicity 4)
Co: 0.2500 0.2500 0.2500 (multiplicity 4)

=====

# 5
## ErLuCoNi (GGA-PBE)

Data for an optimized crystal structure of ErLuCoNi.

Results
* calculated total energy: -5.83 eV/atom
* ΔH_f (0 K): -339 meV/atom

a = 6.5994 Å, b = 6.5994 Å, c = 6.5994 Å
α = 90.00°, β = 90.00°, γ = 90.00°
Space group F-43m (No. 216)
Symmetry-distinct sites (fractional):
Er: 0.0000 0.0000 0.0000 (multiplicity 4)
Lu: 0.0000 0.0000 0.5000 (multiplicity 4)
Co: 0.2500 0.2500 0.7500 (multiplicity 4)
Ni: 0.2500 0.2500 0.2500 (multiplicity 4)

=====

# 6
## ErLuCoPt (GGA-PBE)

Data for an optimized crystal structure of ErLuCoPt.

Results
* calculated total energy: -6.30 eV/atom
* ΔH_f (0 K): -744 meV/atom

a = 6.7524 Å, b = 6.7524 Å, c = 6.7524 Å
α = 90.00°, β = 90.00°, γ = 90.00°
Space group F-43m (No. 216)
Symmetry-distinct sites (fractional):
Er: 0.0000 0.0000 0.0000 (multiplicity 4)
Lu: 0.0000 0.0000 0.5000 (multiplicity 4)
Co: 0.2500 0.2500 0.7500 (multiplicity 4)
Pt: 0.2500 0.2500 0.2500 (multiplicity 4)